Compound: SrRu2Pt
Source: Alexandria
Functional: PBE-GGA
Structure: relaxed

Unit cell a=5.963 b=5.963 c=5.963 alpha=152.20 beta=131.68 gamma=56.67
Positions (direct):
Ru 0.030 0.030 0.000
Ru 0.470 0.470 0.000
Pt 0.250 0.750 0.500
Sr 0.750 0.250 0.500

Results
- D(E_F): 6.10 states/eV per cell
- ΔE_f: 38 kJ per mole of atoms
- E: -24.690 eV/cell
- E above lowest polymorph: 31.1 kJ per mole of atoms